1.
Below is an optimized crystal structure of Nd2YMg3CdIn2, with properties calculated at the PBE level.

a = 4.7152 Å, b = 7.6146 Å, c = 7.6146 Å
α = 119.14°, β = 90.00°, γ = 90.00°
Closest atoms and distances in Å follow each position.
Sites, in units of the cell vectors:
Cd1 0.0000 0.0064 0.0064  6 Mg 2.97-3.02, 1 Y 3.21, 2 Nd 3.25
In1 0.5000 0.6619 0.3343  3 Mg 2.96-2.99, 2 Y 3.25, 4 Nd 3.30
In2 0.5000 0.3343 0.6619  3 Mg 2.96-2.99, 2 Y 3.25, 4 Nd 3.30
Mg1 0.5000 0.2404 0.0002  2 Cd 2.97, 2 In 2.97-2.99, 2 Mg 3.15-3.19
Mg2 0.5000 0.0002 0.2404  2 Cd 2.97, 2 In 2.97-2.99, 2 Mg 3.15-3.19
Mg3 0.5000 0.7612 0.7612  2 In 2.96, 2 Cd 3.02, 2 Mg 3.19
Nd1 0.0000 0.9983 0.5753  1 Cd 3.25, 4 In 3.30, 2 Mg 3.48
Nd2 0.0000 0.5753 0.9983  1 Cd 3.25, 4 In 3.30, 2 Mg 3.48
Y1 0.0000 0.4221 0.4221  1 Cd 3.21, 4 In 3.25, 2 Mg 3.52

## Properties
space group: No. 38

---

2.
Below is an optimized crystal structure of PrTm2Mg3CdIn2, with properties calculated at the PBE level.

a = 4.6712 Å, b = 7.5919 Å, c = 7.5919 Å
α = 121.25°, β = 90.00°, γ = 90.00°
Closest atoms and distances in Å follow each position.
Sites, in units of the cell vectors:
Cd1 0.0000 0.9876 0.9876  6 Mg 2.89-2.98, 2 Tm 3.19
In1 0.5000 0.6747 0.3325  3 Mg 2.91-2.96, 4 Tm 3.21
In2 0.5000 0.3325 0.6747  3 Mg 2.91-2.96, 4 Tm 3.21
Mg1 0.5000 0.2384 0.0004  2 In 2.91-2.94, 2 Cd 2.98, 2 Mg 3.11-3.15
Mg2 0.5000 0.0004 0.2384  2 In 2.91-2.94, 2 Cd 2.98, 2 Mg 3.11-3.15
Mg3 0.5000 0.7586 0.7586  2 Cd 2.89, 2 In 2.96, 2 Mg 3.11
Pr1 0.0000 0.4279 0.4279  1 Cd 3.28, 4 In 3.30, 6 Mg 3.39-3.64
Tm1 0.0000 0.5765 0.0035  1 Cd 3.19, 4 In 3.21, 2 Mg 3.46
Tm2 0.0000 0.0035 0.5765  1 Cd 3.19, 4 In 3.21, 2 Mg 3.46

## Properties
space group: No. 38

---

3.
Below is an optimized crystal structure of Pr2TmMg3CdIn2, with properties calculated at the PBE level.

a = 4.7142 Å, b = 7.5921 Å, c = 7.5921 Å
α = 118.76°, β = 90.00°, γ = 90.00°
Closest atoms and distances in Å follow each position.
Sites, in units of the cell vectors:
Cd1 0.0000 0.9876 0.9876  6 Mg 2.95-3.05, 1 Tm 3.16, 2 Pr 3.27
In1 0.5000 0.6654 0.3420  3 Mg 2.95-3.01, 2 Tm 3.22
In2 0.5000 0.3420 0.6654  3 Mg 2.95-3.01, 2 Tm 3.22
Mg1 0.5000 0.7598 0.0002  2 Cd 2.95, 2 In 2.96-3.01, 2 Mg 3.14-3.18
Mg2 0.5000 0.2369 0.2369  2 In 2.95, 2 Cd 3.05, 2 Mg 3.18
Mg3 0.5000 0.0002 0.7598  2 Cd 2.95, 2 In 2.96-3.01, 2 Mg 3.14-3.18
Pr1 0.0000 0.4260 0.0035  1 Cd 3.27, 4 In 3.31, 4 Mg 3.47-3.63
Pr2 0.0000 0.0035 0.4260  1 Cd 3.27, 4 In 3.31, 4 Mg 3.47-3.63
Tm1 0.0000 0.5786 0.5786  1 Cd 3.16, 4 In 3.22, 2 Mg 3.54

## Properties
space group: No. 38

---

| no. | calculated total energy (hartree per atom) | magnetization (μB/cell) |
| --- | --- | --- |
| 1 | -0.12466 | 0.00 |
| 2 | -0.11396 | 0.00 |
| 3 | -0.11592 | 0.00 |